First-principles (GGA-PBE) data for a relaxed structure of Ca3Si2GeAu9, as listed in Alexandria via LeMat-Bulk.

Summary:
uncorrected energy: -56.33 eV per cell
V: 344 Å³/cell
crystal system: trigonal

a = 7.524 Å, b = 7.524 Å, c = 7.012 Å
α = 90.00°, β = 90.00°, γ = 120.00°
Atoms (fractional coordinates):
Ca 0.333 0.667 0.668
Ca 0.000 0.000 0.000
Ca 0.667 0.333 0.332
Si 0.333 0.667 0.160
Si 0.667 0.333 0.840
Ge 0.000 0.000 0.500
Au 0.829 0.171 0.668
Au 0.829 0.657 0.668
Au 0.343 0.171 0.668
Au 0.657 0.829 0.332
Au 0.171 0.343 0.332
Au 0.171 0.829 0.332
Au 0.500 0.000 0.000
Au 0.000 0.500 0.000
Au 0.500 0.500 0.000


First-principles (GGA-PBE) data for a relaxed structure of YSn4Pb, as listed in Alexandria via LeMat-Bulk.

Summary:
V: 170 Å³/cell
formation energy from the elements: -0.1161 eV per atom
crystal system: cubic

a = 6.220 Å, b = 6.220 Å, c = 6.220 Å
α = 60.00°, β = 60.00°, γ = 60.00°
Atoms (fractional coordinates):
Pb 0.250 0.250 0.250
Y 0.000 0.000 0.000
Sn 0.625 0.625 0.124
Sn 0.625 0.124 0.625
Sn 0.625 0.625 0.625
Sn 0.124 0.625 0.625


First-principles (GGA-PBE) data for a relaxed structure of InSnRuO6, as listed in Alexandria via LeMat-Bulk.

Summary:
uncorrected energy: -112.78 eV per cell
V: 218 Å³/cell
crystal system: trigonal

a = 5.306 Å, b = 5.306 Å, c = 8.955 Å
α = 90.00°, β = 90.00°, γ = 120.00°
Site moments in Bohr magnetons follow the coordinates.
Atoms (fractional coordinates):
In 0.333 0.667 0.250  0.02
In 0.667 0.333 0.750  0.02
Sn 0.000 0.000 0.000  0.02
Sn 0.000 0.000 0.500  0.02
Ru 0.667 0.333 0.250  1.82
Ru 0.333 0.667 0.750  1.82
O 0.675 0.648 0.126  0.13
O 0.973 0.325 0.126  0.13
O 0.325 0.973 0.626  0.13
O 0.027 0.675 0.874  0.13
O 0.352 0.325 0.374  0.13
O 0.973 0.648 0.374  0.13
O 0.648 0.973 0.874  0.13
O 0.675 0.027 0.374  0.13
O 0.027 0.352 0.626  0.13
O 0.352 0.027 0.126  0.13
O 0.648 0.675 0.626  0.13
O 0.325 0.352 0.874  0.13


First-principles (GGA-PBE) data for a relaxed structure of Cs2GeSb, as listed in Alexandria via LeMat-Bulk.

Summary:
V: 180 Å³/cell
crystal system: cubic
relative energy among the computed polymorphs: 2.29 eV per formula unit

a = 6.342 Å, b = 6.342 Å, c = 6.342 Å
α = 60.00°, β = 60.00°, γ = 60.00°
Site moments in Bohr magnetons follow the coordinates.
Atoms (fractional coordinates):
Cs 0.250 0.250 0.250  0.02
Cs 0.750 0.750 0.750  0.02
Sb 0.500 0.500 0.500  -0.26
Ge 0.000 0.000 0.000  0.61


First-principles (GGA-PBE) data for a relaxed structure of La2CoNi12P3, as listed in Alexandria via LeMat-Bulk.

Summary:
V: 285 Å³/cell
formation energy from the elements: -0.0296 eV per atom
crystal system: trigonal

a = 7.139 Å, b = 7.139 Å, c = 7.139 Å
α = 64.95°, β = 64.95°, γ = 64.95°
Site moments in Bohr magnetons follow the coordinates.
Atoms (fractional coordinates):
La 0.619 0.619 0.619  -0.03
La 0.381 0.381 0.381  -0.03
Co 0.000 0.000 0.000  1.77
Ni 0.340 0.340 0.900  0.01
Ni 0.880 0.880 0.365  0.15
Ni 0.365 0.880 0.880  0.15
Ni 0.900 0.340 0.340  0.01
Ni 0.880 0.365 0.880  0.15
Ni 0.340 0.900 0.340  0.01
Ni 0.660 0.660 0.100  0.01
Ni 0.120 0.120 0.635  0.15
Ni 0.635 0.120 0.120  0.15
Ni 0.100 0.660 0.660  0.01
Ni 0.120 0.635 0.120  0.15
Ni 0.660 0.100 0.660  0.01
P 0.500 0.000 0.000  0.00
P 0.000 0.500 0.000  0.00
P 0.000 0.000 0.500  0.00


First-principles (GGA-PBE) data for a relaxed structure of SiAgBr2, as listed in Alexandria via LeMat-Bulk.

Summary:
V: 91 Å³/cell
crystal system: cubic
relative energy among the computed polymorphs: 1.61 eV per formula unit

a = 5.055 Å, b = 5.055 Å, c = 5.055 Å
α = 60.00°, β = 60.00°, γ = 60.00°
Atoms (fractional coordinates):
Si 0.000 0.000 0.000
Br 0.250 0.250 0.250
Br 0.750 0.750 0.750
Ag 0.500 0.500 0.500


First-principles (GGA-PBE) data for a relaxed structure of InAgW2, as listed in Alexandria via LeMat-Bulk.

Summary:
V: 70 Å³/cell
formation energy from the elements: 0.6834 eV per atom
crystal system: tetragonal

a = 4.927 Å, b = 4.927 Å, c = 4.927 Å
α = 129.28°, β = 129.28°, γ = 74.56°
Atoms (fractional coordinates):
Ag 0.500 0.500 0.000
W 0.000 0.000 0.000
W 0.250 0.750 0.500
In 0.750 0.250 0.500


First-principles (GGA-PBE) data for a relaxed structure of Li3Pt, as listed in Alexandria via LeMat-Bulk.

Summary:
V: 112 Å³/cell
formation energy from the elements: -0.4047 eV per atom
crystal system: tetragonal
relative energy among the computed polymorphs: 0.07 eV per formula unit

a = 4.074 Å, b = 4.074 Å, c = 7.330 Å
α = 73.87°, β = 73.87°, γ = 90.00°
Atoms (fractional coordinates):
Li 0.865 0.865 0.270
Li 0.750 0.250 0.500
Li 0.000 0.500 0.000
Li 0.135 0.135 0.730
Li 0.250 0.750 0.500
Li 0.500 0.000 0.000
Pt 0.622 0.622 0.756
Pt 0.378 0.378 0.244